The following is a DFT calculation (GGA+U) of CrCd2F6 after structural relaxation.

The structure in POSCAR format:
```
CrCd2F6
1.0
5.034 0.000 0.000
0.000 5.034 0.000
0.000 0.000 10.704
F Cd Cr
12 4 2
direct
0.288 0.288 0.000
0.310 0.310 0.338
0.810 0.190 0.162
0.690 0.690 0.662
0.310 0.310 0.662
0.788 0.212 0.500
0.810 0.190 0.838
0.712 0.712 0.000
0.190 0.810 0.838
0.690 0.690 0.338
0.190 0.810 0.162
0.212 0.788 0.500
0.500 0.500 0.834
0.000 0.000 0.334
0.000 0.000 0.666
0.500 0.500 0.166
0.000 0.000 0.000
0.500 0.500 0.500
```

Values from the calculation:
The space group is No. 136. For the volume, the calculation gives 271.3 Å³/cell. The raw total energy is -4.59 eV/atom.